# 1
# Nd8Co3CuBr4

Nd8Co3CuBr4 after structural relaxation (GGA-PBE, Alexandria via LeMat-Bulk).

Cell: 8.1063 8.1063 23.3191 Å, 90.00 90.00 120.00°
Space group R-3m (No. 166, hexagonal axes)
Symmetry-distinct sites (fractional):
Nd: 0.0000 0.0000 0.2312 [6 per cell]
Nd: 0.0126 0.5063 0.7686 [18 per cell]
Co: 0.0000 0.5000 0.5000 [9 per cell]
Cu: 0.0000 0.0000 0.5000 [3 per cell]
Br: 0.0000 0.0000 0.0000 [3 per cell]
Br: 0.0000 0.5000 0.0000 [9 per cell]

Formation energy from raw total energies   -0.71 eV per atom
Total magnetic moment   0.0 μB per formula unit
Theoretical density   6.434 g cm⁻³

# 2
# CoCuOsBr

CoCuOsBr after structural relaxation (GGA-PBE, Alexandria via LeMat-Bulk).

Cell: 3.074 2.973 7.314 Å, 90.00 101.43 90.00°
Space group Pm (No. 6)
Symmetry-distinct sites (fractional):
Co: 0.000 0.000 0.000 [1 per cell]
Cu: 0.591 0.500 0.194 [1 per cell]
Os: 0.421 0.500 0.831 [1 per cell]
Br: 0.778 0.500 0.538 [1 per cell]

Formation energy from raw total energies   0.56 eV per atom
Total magnetic moment   0.9 μB per formula unit
Relative energy among the computed polymorphs   52.4 meV/atom
Theoretical density   9.951 g cm⁻³

# 3
# CoCuOsBr

CoCuOsBr after structural relaxation (GGA-PBE, Alexandria via LeMat-Bulk).

Cell: 6.683 3.769 6.237 Å, 90.00 103.35 90.00°
Space group Cm (No. 8)
Symmetry-distinct sites (fractional):
Co: 0.000 0.000 0.000 [2 per cell]
Cu: 0.287 0.000 0.805 [2 per cell]
Os: 0.188 0.500 0.085 [2 per cell]
Br: 0.281 0.500 0.487 [2 per cell]

Formation energy from raw total energies   0.63 eV per atom
Total magnetic moment   0.0 μB per formula unit
Relative energy among the computed polymorphs   116.8 meV/atom
Theoretical density   8.530 g cm⁻³